VASP calculation (PBE-GGA) on an optimized crystal structure of CsBa4Sr5.

Its crystal system is tetragonal. The calculation puts the formation energy at 46 meV/atom. The calculation puts the magnetization at 0.000 μB/f.u. The value obtained for the uncorrected energy is -16.49 eV per cell.

The structure belongs to space group P4/mmm (No. 123); the cell edges are 4.8266, 4.8266 and 26.7747 Å and the angles 90.00°, 90.00° and 90.00°. The distinct sites, in fractional coordinates, are Cs at (0.0000, 0.0000, 0.0000), Ba at (0.0000, 0.0000, 0.2225), Ba at (0.0000, 0.0000, 0.4061), Sr at (0.5000, 0.5000, 0.1267), Sr at (0.5000, 0.5000, 0.3136) and Sr at (0.5000, 0.5000, 0.5000).